Density functional theory data (GGA-PBE) for AcPm2Sm4Ho after structural relaxation.

Results
As for the crystal system: tetragonal. The value obtained for the formation energy is 1.0 eV per formula unit.

Unit cell a=6.0675 b=6.0675 c=7.5600 alpha=90.00 beta=90.00 gamma=90.00
Fractional positions:
Ac1 0.0000 0.0000 0.0000
Pm1 0.0000 0.0000 0.5000
Pm2 0.5000 0.5000 0.0000
Sm1 0.0000 0.5000 0.2635
Sm2 0.0000 0.5000 0.7365
Sm3 0.5000 0.0000 0.2635
Sm4 0.5000 0.0000 0.7365
Ho1 0.5000 0.5000 0.5000